Computed, not measured: ZrSc5Co6 after structural relaxation at the PBE-GGA level of DFT.

Cell: 4.4298 6.2904 7.0002 Å, 90.00 108.32 90.00°
Fractional positions:
Zr1 0.0000 0.0000 0.0000
Sc1 0.0000 0.5000 0.0000
Sc2 0.3312 0.0000 0.6621
Sc3 0.3332 0.5000 0.6663
Sc4 0.6668 0.5000 0.3337
Sc5 0.6688 0.0000 0.3379
Co1 0.1649 0.2496 0.3300
Co2 0.1649 0.7504 0.3300
Co3 0.5000 0.2458 0.0000
Co4 0.5000 0.7542 0.0000
Co5 0.8351 0.2496 0.6700
Co6 0.8351 0.7504 0.6700

Calculated values
* E_tot: -7.27 eV/atom
* energy of formation: -0.363 eV/atom
* crystal system: monoclinic

---

Computed, not measured: Zr2Sc2Co after structural relaxation at the PBE-GGA level of DFT.

Cell: 6.3364 6.3364 6.5676 Å, 104.04 104.04 114.44°
Fractional positions:
Zr1 0.1948 0.7495 0.7499
Zr2 0.2505 0.8052 0.2501
Zr3 0.7495 0.1948 0.7499
Zr4 0.8052 0.2505 0.2501
Sc1 0.2405 0.2405 0.6141
Sc2 0.2517 0.2517 0.1098
Sc3 0.7483 0.7483 0.8902
Sc4 0.7595 0.7595 0.3859
Co1 0.3806 0.6194 0.5000
Co2 0.6194 0.3806 0.5000

Calculated values
* E_tot: -7.44 eV/atom
* energy of formation: -0.064 eV/atom
* crystal system: monoclinic

---

Computed, not measured: ZrSc3Co2 after structural relaxation at the PBE-GGA level of DFT.

Cell: 4.3591 7.9674 6.3644 Å, 90.00 90.00 90.00°
Fractional positions:
Zr1 0.0000 0.0794 0.0000
Zr2 0.0000 0.9206 0.5000
Sc1 0.0000 0.3331 0.6290
Sc2 0.0000 0.6669 0.1290
Sc3 0.5000 0.1721 0.3418
Sc4 0.5000 0.4154 0.9679
Sc5 0.5000 0.5846 0.4679
Sc6 0.5000 0.8279 0.8418
Co1 0.0000 0.3385 0.2182
Co2 0.0000 0.6615 0.7182
Co3 0.5000 0.1509 0.7511
Co4 0.5000 0.8491 0.2511

Calculated values
* E_tot: -7.20 eV/atom
* energy of formation: -0.246 eV/atom
* crystal system: orthorhombic

---

Computed, not measured: Zr2ScCo2 after structural relaxation at the PBE-GGA level of DFT.

Cell: 4.4011 4.4011 9.7710 Å, 90.00 90.00 90.00°
Fractional positions:
Zr1 0.0000 0.5000 0.2500
Zr2 0.0000 0.5000 0.7500
Zr3 0.5000 0.0000 0.2500
Zr4 0.5000 0.0000 0.7500
Sc1 0.0000 0.0000 0.0000
Sc2 0.5000 0.5000 0.5000
Co1 0.0000 0.0000 0.3887
Co2 0.0000 0.0000 0.6113
Co3 0.5000 0.5000 0.1113
Co4 0.5000 0.5000 0.8887

Calculated values
* E_tot: -7.67 eV/atom
* energy of formation: -0.146 eV/atom
* crystal system: tetragonal

---

Computed, not measured: ZrSc2Co3 after structural relaxation at the PBE-GGA level of DFT.

Cell: 4.4567 4.4567 10.9170 Å, 90.00 90.00 120.00°
Fractional positions:
Zr1 0.3333 0.6667 0.1686
Zr2 0.6667 0.3333 0.8314
Sc1 0.0000 0.0000 0.0000
Sc2 0.0000 0.0000 0.5000
Sc3 0.3333 0.6667 0.6619
Sc4 0.6667 0.3333 0.3381
Co1 0.0000 0.0000 0.2482
Co2 0.0000 0.0000 0.7518
Co3 0.3333 0.6667 0.4141
Co4 0.3333 0.6667 0.9157
Co5 0.6667 0.3333 0.0843
Co6 0.6667 0.3333 0.5859

Calculated values
* E_tot: -7.44 eV/atom
* energy of formation: -0.354 eV/atom
* crystal system: trigonal

---

Computed, not measured: Zr3ScCo2 after structural relaxation at the PBE-GGA level of DFT.

Cell: 7.5928 7.5928 7.5928 Å, 131.74 72.03 130.00°
Fractional positions:
Zr1 0.0122 0.7500 0.2622
Zr2 0.2500 0.2500 0.0000
Zr3 0.4878 0.7500 0.7378
Zr4 0.5122 0.2500 0.2622
Zr5 0.7500 0.7500 0.0000
Zr6 0.9878 0.2500 0.7378
Sc1 0.0000 0.5000 0.5000
Sc2 0.5000 0.0000 0.5000
Co1 0.1389 0.2123 0.3512
Co2 0.3611 0.7123 0.0734
Co3 0.6389 0.2877 0.9266
Co4 0.8611 0.7877 0.6488

Calculated values
* E_tot: -7.80 eV/atom
* energy of formation: -0.103 eV/atom
* crystal system: orthorhombic

---

Computed, not measured: Zr3ScCo after structural relaxation at the PBE-GGA level of DFT.

Cell: 6.6469 6.6469 6.6469 Å, 103.49 124.32 101.71°
Fractional positions:
Zr1 0.2408 0.5014 0.2394
Zr2 0.2494 0.0486 0.2980
Zr3 0.2494 0.4514 0.7008
Zr4 0.2621 0.0014 0.7606
Zr5 0.7506 0.5486 0.2992
Zr6 0.7506 0.9514 0.7020
Sc1 0.7388 0.9988 0.2401
Sc2 0.7587 0.4988 0.7599
Co1 0.2459 0.7501 0.9957
Co2 0.7544 0.2501 0.0043

Calculated values
* E_tot: -7.81 eV/atom
* energy of formation: 0.005 eV/atom
* crystal system: orthorhombic

---

Computed, not measured: ZrSc3Co3 after structural relaxation at the PBE-GGA level of DFT.

Cell: 5.3831 5.3831 5.3831 Å, 109.07 109.07 109.07°
Fractional positions:
Zr1 0.0000 0.0000 0.0000
Sc1 0.0000 0.5000 0.5000
Sc2 0.5000 0.0000 0.5000
Sc3 0.5000 0.5000 0.0000
Co1 0.0000 0.0000 0.5000
Co2 0.0000 0.5000 0.0000
Co3 0.5000 0.0000 0.0000

Calculated values
* E_tot: -7.21 eV/atom
* energy of formation: -0.226 eV/atom
* crystal system: trigonal

---

Computed, not measured: ZrSc5Co4 after structural relaxation at the PBE-GGA level of DFT.

Cell: 3.1355 3.1355 17.1751 Å, 90.00 90.00 90.00°
Fractional positions:
Zr1 0.0000 0.0000 0.0000
Sc1 0.5000 0.5000 0.1395
Sc2 0.5000 0.5000 0.3190
Sc3 0.5000 0.5000 0.5000
Sc4 0.5000 0.5000 0.6810
Sc5 0.5000 0.5000 0.8605
Co1 0.0000 0.0000 0.2266
Co2 0.0000 0.0000 0.4091
Co3 0.0000 0.0000 0.5909
Co4 0.0000 0.0000 0.7734

Calculated values
* E_tot: -7.15 eV/atom
* energy of formation: -0.284 eV/atom
* crystal system: tetragonal

---

Computed, not measured: Zr2ScCo2 after structural relaxation at the PBE-GGA level of DFT.

Cell: 11.0455 3.3317 5.1430 Å, 90.00 102.19 90.00°
Fractional positions:
Zr1 0.1396 0.0000 0.0603
Zr2 0.3604 0.5000 0.9397
Zr3 0.6396 0.5000 0.0603
Zr4 0.8604 0.0000 0.9397
Sc1 0.0000 0.5000 0.5000
Sc2 0.5000 0.0000 0.5000
Co1 0.2190 0.0000 0.6292
Co2 0.2810 0.5000 0.3708
Co3 0.7190 0.5000 0.6292
Co4 0.7810 0.0000 0.3708

Calculated values
* E_tot: -7.66 eV/atom
* energy of formation: -0.129 eV/atom
* crystal system: monoclinic

---

Computed, not measured: Zr3ScCo after structural relaxation at the PBE-GGA level of DFT.

Cell: 4.9290 4.9290 4.9290 Å, 90.00 90.00 90.00°
Fractional positions:
Zr1 0.0000 0.0000 0.5000
Zr2 0.0000 0.5000 0.0000
Zr3 0.5000 0.0000 0.0000
Sc1 0.0000 0.0000 0.0000
Co1 0.5000 0.5000 0.5000

Calculated values
* E_tot: -6.30 eV/atom
* energy of formation: 1.513 eV/atom
* crystal system: cubic

---

Computed, not measured: Zr2ScCo2 after structural relaxation at the PBE-GGA level of DFT.

Cell: 3.7997 3.7997 13.3927 Å, 90.00 90.00 90.00°
Fractional positions:
Zr1 0.0000 0.0000 0.1266
Zr2 0.0000 0.0000 0.8734
Zr3 0.5000 0.5000 0.3734
Zr4 0.5000 0.5000 0.6266
Sc1 0.0000 0.0000 0.5000
Sc2 0.5000 0.5000 0.0000
Co1 0.0000 0.5000 0.2500
Co2 0.0000 0.5000 0.7500
Co3 0.5000 0.0000 0.2500
Co4 0.5000 0.0000 0.7500

Calculated values
* E_tot: -7.34 eV/atom
* energy of formation: 0.186 eV/atom
* crystal system: tetragonal

---

Computed, not measured: ZrScCo after structural relaxation at the PBE-GGA level of DFT.

Cell: 11.1595 3.3161 6.1448 Å, 90.00 90.89 90.00°
Fractional positions:
Zr1 0.0000 0.0000 0.0000
Zr2 0.1843 0.5000 0.6946
Zr3 0.5000 0.5000 0.0000
Zr4 0.6843 0.0000 0.6946
Sc1 0.2657 0.0000 0.1851
Sc2 0.4589 0.5000 0.5030
Sc3 0.7657 0.5000 0.1851
Sc4 0.9589 0.0000 0.5030
Co1 0.0998 0.5000 0.2749
Co2 0.3601 0.0000 0.7798
Co3 0.5998 0.0000 0.2749
Co4 0.8601 0.5000 0.7798

Calculated values
* E_tot: -7.54 eV/atom
* energy of formation: -0.210 eV/atom
* crystal system: monoclinic

---

Computed, not measured: ZrSc2Co3 after structural relaxation at the PBE-GGA level of DFT.

Cell: 3.1452 3.1452 9.5243 Å, 90.00 90.00 90.00°
Fractional positions:
Zr1 0.0000 0.0000 0.0000
Sc1 0.0000 0.0000 0.3378
Sc2 0.0000 0.0000 0.6622
Co1 0.5000 0.5000 0.1620
Co2 0.5000 0.5000 0.5000
Co3 0.5000 0.5000 0.8380

Calculated values
* E_tot: -7.44 eV/atom
* energy of formation: -0.354 eV/atom
* crystal system: tetragonal

---

Computed, not measured: ZrScCo after structural relaxation at the PBE-GGA level of DFT.

Cell: 3.3752 4.7087 7.1431 Å, 90.00 90.00 90.00°
Fractional positions:
Zr1 0.2500 0.2500 0.0328
Zr2 0.7500 0.7500 0.9672
Sc1 0.2500 0.7500 0.3650
Sc2 0.7500 0.2500 0.6350
Co1 0.2500 0.7500 0.7113
Co2 0.7500 0.2500 0.2887

Calculated values
* E_tot: -7.46 eV/atom
* energy of formation: -0.127 eV/atom
* crystal system: orthorhombic

---

Computed, not measured: Zr4ScCo2 after structural relaxation at the PBE-GGA level of DFT.

Cell: 6.5613 5.9276 7.4745 Å, 90.00 108.43 90.00°
Fractional positions:
Zr1 0.0422 0.2500 0.4092
Zr2 0.2249 0.7500 0.3298
Zr3 0.3922 0.0045 0.7683
Zr4 0.3922 0.4955 0.7683
Zr5 0.6078 0.5045 0.2317
Zr6 0.6078 0.9955 0.2317
Zr7 0.7751 0.2500 0.6702
Zr8 0.9578 0.7500 0.5908
Sc1 0.1517 0.2500 0.0363
Sc2 0.8483 0.7500 0.9637
Co1 0.2787 0.7500 0.0057
Co2 0.4048 0.2500 0.4191
Co3 0.5952 0.7500 0.5809
Co4 0.7213 0.2500 0.9943

Calculated values
* E_tot: -7.95 eV/atom
* energy of formation: -0.126 eV/atom
* crystal system: monoclinic

---

Computed, not measured: Zr2ScCo3 after structural relaxation at the PBE-GGA level of DFT.

Cell: 3.1693 3.1693 9.5119 Å, 90.00 90.00 90.00°
Fractional positions:
Zr1 0.0000 0.0000 0.1693
Zr2 0.0000 0.0000 0.8307
Sc1 0.0000 0.0000 0.5000
Co1 0.5000 0.5000 0.0000
Co2 0.5000 0.5000 0.3288
Co3 0.5000 0.5000 0.6712

Calculated values
* E_tot: -7.77 eV/atom
* energy of formation: -0.317 eV/atom
* crystal system: tetragonal

---

Computed, not measured: ZrScCo after structural relaxation at the PBE-GGA level of DFT.

Cell: 4.3889 4.3889 3.2708 Å, 90.00 90.00 120.00°
Fractional positions:
Zr1 0.0000 0.0000 0.0000
Sc1 0.6667 0.3333 0.5578
Co1 0.3333 0.6667 0.2697

Calculated values
* E_tot: -7.37 eV/atom
* energy of formation: -0.045 eV/atom
* crystal system: trigonal

---

Computed, not measured: Zr2ScCo2 after structural relaxation at the PBE-GGA level of DFT.

Cell: 7.6613 7.6613 2.9674 Å, 90.00 90.00 90.00°
Fractional positions:
Zr1 0.1484 0.3516 0.0000
Zr2 0.3516 0.8516 0.0000
Zr3 0.6484 0.1484 0.0000
Zr4 0.8516 0.6484 0.0000
Sc1 0.0000 0.0000 0.0000
Sc2 0.5000 0.5000 0.0000
Co1 0.1498 0.6498 0.5000
Co2 0.3502 0.1498 0.5000
Co3 0.6498 0.8502 0.5000
Co4 0.8502 0.3502 0.5000

Calculated values
* E_tot: -7.61 eV/atom
* energy of formation: -0.082 eV/atom
* crystal system: tetragonal

---

Computed, not measured: Zr2Sc2Co after structural relaxation at the PBE-GGA level of DFT.

Cell: 6.4268 6.4268 5.0559 Å, 90.00 90.00 90.00°
Fractional positions:
Zr1 0.1612 0.3388 0.0000
Zr2 0.3388 0.8388 0.0000
Zr3 0.6612 0.1612 0.0000
Zr4 0.8388 0.6612 0.0000
Sc1 0.1576 0.6576 0.5000
Sc2 0.3424 0.1576 0.5000
Sc3 0.6576 0.8424 0.5000
Sc4 0.8424 0.3424 0.5000
Co1 0.0000 0.0000 0.5000
Co2 0.5000 0.5000 0.5000

Calculated values
* E_tot: -7.28 eV/atom
* energy of formation: 0.094 eV/atom
* crystal system: tetragonal